No. 1
CrHgW2: optimized geometry, GGA-PBE. Values from VASP.

Structure (Quantum ESPRESSO input):
```
&SYSTEM
  ibrav = 0, nat = 4, ntyp = 3
/
ATOMIC_SPECIES
Cr 52.00 Cr.upf
Hg 200.59 Hg.upf
W 183.84 W.upf
ATOMIC_POSITIONS crystal
Cr 0.250 0.750 0.500
Hg 0.750 0.250 0.500
W 0.500 0.500 0.000
W 0.000 0.000 0.000
CELL_PARAMETERS angstrom
-3.452 -1.149 -3.494
-1.233 -4.890 -0.122
0.339 3.479 3.637
```

Values from the calculation:
Its density of states at the Fermi level is 2.3 states/eV per cell. Its symmetry is I4/mmm, No. 139. The formation energy comes out at 0.685 eV per atom.


No. 2
Hf2CdPb: optimized geometry, GGA-PBE. Values from VASP.

Structure (Quantum ESPRESSO input):
```
&SYSTEM
  ibrav = 0, nat = 4, ntyp = 3
/
ATOMIC_SPECIES
Hf 178.49 Hf.upf
Pb 207.20 Pb.upf
Cd 112.41 Cd.upf
ATOMIC_POSITIONS crystal
Hf 0.750 0.750 0.750
Hf 0.250 0.250 0.250
Pb 0.500 0.500 0.500
Cd 0.000 0.000 0.000
CELL_PARAMETERS angstrom
-4.312 -0.360 2.572
-3.384 3.720 -0.227
-4.342 -0.694 -2.451
```

Values from the calculation:
Its density of states at the Fermi level is 6.8 states/eV per cell. For the polymorph energy (0 for the lowest one), the calculation gives 0.165 eV per atom. Its symmetry is Fm-3m, No. 225. The formation energy comes out at 0.197 eV per atom.


No. 3
Cu2AuCl: optimized geometry, GGA-PBE. Values from VASP.

Structure (Quantum ESPRESSO input):
```
&SYSTEM
  ibrav = 0, nat = 8, ntyp = 3
/
ATOMIC_SPECIES
Cl 35.45 Cl.upf
Cu 63.55 Cu.upf
Au 196.97 Au.upf
ATOMIC_POSITIONS crystal
Cl 0.250 0.750 0.500
Cl 0.500 0.500 0.000
Cu 0.152 0.625 0.250
Cu 0.375 0.402 0.750
Cu 0.875 0.848 0.750
Cu 0.598 0.125 0.250
Au 0.000 0.000 0.000
Au 0.750 0.250 0.500
CELL_PARAMETERS angstrom
6.413 0.000 0.000
0.000 6.413 0.000
3.206 3.206 3.656
```

Values from the calculation:
Its density of states at the Fermi level is 1.3 states/eV per cell. For the polymorph energy (0 for the lowest one), the calculation gives 0.280 eV per atom. The energy relative to the elements, uncorrected is 0.180 eV per atom. Its symmetry is I-42d, No. 122.


No. 4
K3Pa3CrN8: optimized geometry, GGA-PBE. Values from VASP.

Structure (Quantum ESPRESSO input):
```
&SYSTEM
  ibrav = 0, nat = 15, ntyp = 4
/
ATOMIC_SPECIES
Pa 231.04 Pa.upf
N 14.01 N.upf
K 39.10 K.upf
Cr 52.00 Cr.upf
ATOMIC_POSITIONS crystal
Pa 0.500 0.000 0.500
Pa 0.000 0.500 0.500
Pa 0.500 0.500 0.500
N 0.748 0.951 0.655
N 0.204 0.407 0.655
N 0.204 0.951 0.655
N 0.796 0.593 0.345
N 0.252 0.049 0.345
N 0.796 0.049 0.345
N 0.276 0.552 0.328
N 0.724 0.448 0.672
K 0.500 0.500 0.000
K 0.000 0.500 0.000
K 0.000 0.000 0.000
Cr 0.000 0.000 0.500
CELL_PARAMETERS angstrom
-0.181 4.336 -5.264
-5.038 0.003 4.598
6.621 2.941 2.190
```

Values from the calculation:
Its density of states at the Fermi level is 1.9 states/eV per cell. The energy relative to the elements, uncorrected is -0.811 eV per atom. Its symmetry is R-3m, No. 166.


No. 5
NaBeAu3: optimized geometry, GGA-PBE. Values from VASP.

Structure (Quantum ESPRESSO input):
```
&SYSTEM
  ibrav = 0, nat = 5, ntyp = 3
/
ATOMIC_SPECIES
Na 22.99 Na.upf
Au 196.97 Au.upf
Be 9.01 Be.upf
ATOMIC_POSITIONS crystal
Na 0.000 0.000 0.000
Au 0.500 0.000 0.000
Au 0.000 0.500 0.000
Au 0.000 0.000 0.500
Be 0.500 0.500 0.500
CELL_PARAMETERS angstrom
-0.010 3.945 -2.909
-4.799 0.585 0.809
0.999 2.850 3.861
```

Values from the calculation:
Its density of states at the Fermi level is 2.2 states/eV per cell. For the polymorph energy (0 for the lowest one), the calculation gives 1.463 eV per atom. Its symmetry is Pm-3m, No. 221. The formation energy comes out at 1.226 eV per atom.


No. 6
Ac3DySe6: optimized geometry, GGA-PBE. Values from VASP.

Structure (Quantum ESPRESSO input):
```
&SYSTEM
  ibrav = 0, nat = 20, ntyp = 3
/
ATOMIC_SPECIES
Dy 162.50 Dy.upf
Se 78.96 Se.upf
Ac 227.00 Ac.upf
ATOMIC_POSITIONS crystal
Dy 0.000 0.000 0.000
Dy 0.500 0.500 0.500
Se 0.810 0.681 0.576
Se 0.649 0.442 0.262
Se 0.351 0.558 0.738
Se 0.332 0.806 0.425
Se 0.832 0.694 0.925
Se 0.851 0.942 0.238
Se 0.168 0.306 0.075
Se 0.690 0.181 0.924
Se 0.149 0.058 0.762
Se 0.190 0.319 0.424
Se 0.668 0.194 0.575
Se 0.310 0.819 0.076
Ac 0.500 0.500 0.000
Ac 0.462 0.093 0.254
Ac 0.000 0.000 0.500
Ac 0.038 0.593 0.246
Ac 0.962 0.407 0.754
Ac 0.538 0.907 0.746
CELL_PARAMETERS angstrom
-1.465 4.962 -5.259
-3.543 -5.720 -4.410
-9.507 2.020 5.018
```

Values from the calculation:
Its density of states at the Fermi level is 0.0 states/eV per cell. For the polymorph energy (0 for the lowest one), the calculation gives 0.023 eV per atom. The energy relative to the elements, uncorrected is -1.955 eV per atom. Its symmetry is P2_1/c, No. 14.


No. 7
Sc2MoI: optimized geometry, GGA-PBE. Values from VASP.

Structure (Quantum ESPRESSO input):
```
&SYSTEM
  ibrav = 0, nat = 4, ntyp = 3
/
ATOMIC_SPECIES
Sc 44.96 Sc.upf
Mo 95.94 Mo.upf
I 126.90 I.upf
ATOMIC_POSITIONS crystal
Sc 0.102 0.102 0.102
Sc 0.898 0.898 0.898
Mo 0.500 0.500 0.500
I 0.000 0.000 0.000
CELL_PARAMETERS angstrom
2.071 0.000 9.429
-1.035 1.793 9.429
-1.035 -1.793 9.429
```

Values from the calculation:
Its density of states at the Fermi level is 3.4 states/eV per cell. For the polymorph energy (0 for the lowest one), the calculation gives 0.000 eV per atom. The energy relative to the elements, uncorrected is 0.149 eV per atom. Its symmetry is R-3m, No. 166.


No. 8
AcTb4Tm8: optimized geometry, GGA-PBE. Values from VASP.

Structure (Quantum ESPRESSO input):
```
&SYSTEM
  ibrav = 0, nat = 13, ntyp = 3
/
ATOMIC_SPECIES
Tb 158.93 Tb.upf
Tm 168.93 Tm.upf
Ac 227.00 Ac.upf
ATOMIC_POSITIONS crystal
Tb 0.714 0.138 0.852
Tb 0.286 0.862 0.148
Tb 0.257 0.257 0.000
Tb 0.743 0.743 0.000
Tm 0.352 0.463 0.289
Tm 0.652 0.909 0.561
Tm 0.648 0.537 0.711
Tm 0.806 0.347 0.153
Tm 0.194 0.653 0.847
Tm 0.174 0.063 0.711
Tm 0.348 0.091 0.439
Tm 0.826 0.937 0.289
Ac 0.000 0.500 0.500
CELL_PARAMETERS angstrom
-1.713 -5.485 2.125
-3.378 1.576 -4.862
10.771 -4.654 -4.494
```

Values from the calculation:
Its density of states at the Fermi level is 18.5 states/eV per cell. Its symmetry is C2/m, No. 12. The formation energy comes out at 0.109 eV per atom.


No. 9
NpTl2H4: optimized geometry, GGA-PBE. Values from VASP.

Structure (Quantum ESPRESSO input):
```
&SYSTEM
  ibrav = 0, nat = 7, ntyp = 3
/
ATOMIC_SPECIES
Tl 204.38 Tl.upf
Np 237.00 Np.upf
H 1.01 H.upf
ATOMIC_POSITIONS crystal
Tl 0.651 0.651 0.697
Tl 0.349 0.349 0.303
Np 0.000 0.000 0.000
H 0.500 0.000 0.000
H 0.000 0.500 0.000
H 0.179 0.179 0.642
H 0.821 0.821 0.358
CELL_PARAMETERS angstrom
-0.826 -3.049 2.671
2.879 1.478 2.577
-3.221 2.747 5.344
```

Values from the calculation:
The total energy comes out at -29.5 eV for the cell shown. Its density of states at the Fermi level is 9.5 states/eV per cell. Its symmetry is I4/mmm, No. 139.


No. 10
SiAgRu3: optimized geometry, GGA-PBE. Values from VASP.

Structure (Quantum ESPRESSO input):
```
&SYSTEM
  ibrav = 0, nat = 5, ntyp = 3
/
ATOMIC_SPECIES
Ru 101.07 Ru.upf
Ag 107.87 Ag.upf
Si 28.09 Si.upf
ATOMIC_POSITIONS crystal
Ru 0.000 0.000 0.500
Ru 0.000 0.500 0.000
Ru 0.500 0.000 0.000
Ag 0.000 0.000 0.000
Si 0.500 0.500 0.500
CELL_PARAMETERS angstrom
-3.409 -1.181 3.136
-0.904 -3.983 -2.483
3.227 -2.364 2.617
```

Values from the calculation:
Its density of states at the Fermi level is 7.9 states/eV per cell. For the polymorph energy (0 for the lowest one), the calculation gives 1.655 eV per atom. The energy relative to the elements, uncorrected is 2.445 eV per atom. Its symmetry is Pm-3m, No. 221.


No. 11
Sr2NdTaCu2O8: optimized geometry, GGA-PBE. Values from VASP.

Structure (Quantum ESPRESSO input):
```
&SYSTEM
  ibrav = 0, nat = 14, ntyp = 5
/
ATOMIC_SPECIES
O 16.00 O.upf
Sr 87.62 Sr.upf
Cu 63.55 Cu.upf
Ta 180.95 Ta.upf
Nd 144.24 Nd.upf
ATOMIC_POSITIONS crystal
O 0.000 0.000 0.168
O 0.000 0.500 0.631
O 0.000 0.500 0.369
O 0.000 0.500 0.000
O 0.000 0.000 0.832
O 0.500 0.000 0.000
O 0.500 0.000 0.369
O 0.500 0.000 0.631
Sr 0.500 0.500 0.800
Sr 0.500 0.500 0.200
Cu 0.000 0.000 0.356
Cu 0.000 0.000 0.644
Ta 0.000 0.000 0.000
Nd 0.500 0.500 0.500
CELL_PARAMETERS angstrom
3.949 0.000 0.000
0.000 3.949 0.000
0.000 0.000 11.798
```

Values from the calculation:
Its density of states at the Fermi level is 3.0 states/eV per cell. The energy relative to the elements, uncorrected is -2.359 eV per atom. Its symmetry is P4/mmm, No. 123.


No. 12
PmSc: optimized geometry, GGA-PBE. Values from VASP.

Structure (Quantum ESPRESSO input):
```
&SYSTEM
  ibrav = 0, nat = 12, ntyp = 2
/
ATOMIC_SPECIES
Pm 145.00 Pm.upf
Sc 44.96 Sc.upf
ATOMIC_POSITIONS crystal
Pm 0.250 0.468 0.361
Pm 0.250 0.894 0.532
Pm 0.750 0.106 0.468
Pm 0.750 0.532 0.639
Pm 0.250 0.639 0.106
Pm 0.750 0.361 0.894
Sc 0.250 0.779 0.829
Sc 0.750 0.221 0.171
Sc 0.250 0.171 0.950
Sc 0.750 0.829 0.050
Sc 0.750 0.950 0.779
Sc 0.250 0.050 0.221
CELL_PARAMETERS angstrom
-4.483 -1.537 2.209
0.532 -8.028 -4.503
3.818 0.865 8.348
```

Values from the calculation:
Its density of states at the Fermi level is 22.5 states/eV per cell. For the polymorph energy (0 for the lowest one), the calculation gives 0.264 eV per atom. Its symmetry is P6_3/m, No. 176. The formation energy comes out at 0.311 eV per atom.